[1]
# GGA-PBE Li3Sc2TlO6, relaxed
data_Li3Sc2TlO6
_cell_length_a 5.5243
_cell_length_b 5.5243
_cell_length_c 5.3635
_cell_angle_alpha 99.59
_cell_angle_beta 99.59
_cell_angle_gamma 120.26
_space_group_name_H-M_alt 'P 1'
_space_group_IT_number 1
loop_
_space_group_symop_operation_xyz
'x,y,z'
loop_
_atom_site_label
_atom_site_type_symbol
_atom_site_fract_x
_atom_site_fract_y
_atom_site_fract_z
_atom_site_occupancy
Tl1 Tl 0.0000 0.0000 0.0000 1
O1 O 0.2801 0.2801 0.7612 1
O2 O 0.4334 0.0764 0.2361 1
O3 O 0.7199 0.7199 0.2388 1
O4 O 0.9236 0.5666 0.7639 1
O5 O 0.5666 0.9236 0.7639 1
O6 O 0.0764 0.4334 0.2361 1
Li1 Li 0.1755 0.8245 0.5000 1
Li2 Li 0.5000 0.5000 0.5000 1
Li3 Li 0.8245 0.1755 0.5000 1
Sc1 Sc 0.6660 0.3340 0.0000 1
Sc2 Sc 0.3340 0.6660 0.0000 1
# Uncorrected formation energy ... -222.7 kJ/mol of atoms
# Crystal system ... monoclinic

=====

[2]
# GGA-PBE K4Hf3CuS8, relaxed
data_K4Hf3CuS8
_cell_length_a 7.5747
_cell_length_b 8.5064
_cell_length_c 7.5721
_cell_angle_alpha 116.43
_cell_angle_beta 120.01
_cell_angle_gamma 90.00
_space_group_name_H-M_alt 'P 1'
_space_group_IT_number 1
loop_
_space_group_symop_operation_xyz
'x,y,z'
loop_
_atom_site_label
_atom_site_type_symbol
_atom_site_fract_x
_atom_site_fract_y
_atom_site_fract_z
_atom_site_occupancy
Hf1 Hf 0.0000 0.5000 0.5000 1
Hf2 Hf 0.5000 0.5000 0.5000 1
Hf3 Hf 0.5000 0.5000 0.0000 1
S1 S 0.7667 0.3096 0.5335 1
S2 S 0.7235 0.6906 0.9571 1
S3 S 0.2333 0.6904 0.4665 1
S4 S 0.2765 0.3094 0.0429 1
S5 S 0.2336 0.6906 0.9571 1
S6 S 0.7664 0.3094 0.0429 1
S7 S 0.2675 0.3027 0.5351 1
S8 S 0.7325 0.6973 0.4649 1
Cu1 Cu 0.0000 0.5000 0.0000 1
K1 K 0.0000 0.0000 0.0000 1
K2 K 0.0000 0.0000 0.5000 1
K3 K 0.5000 0.0000 0.0000 1
K4 K 0.5000 0.0000 0.5000 1
# Uncorrected formation energy ... -127.1 kJ/mol of atoms
# Crystal system ... trigonal

=====

[3]
# GGA-PBE LaNiAg2, relaxed
data_LaNiAg2
_cell_length_a 3.3606
_cell_length_b 3.3606
_cell_length_c 7.1843
_cell_angle_alpha 90.00
_cell_angle_beta 90.00
_cell_angle_gamma 90.00
_space_group_name_H-M_alt 'P 1'
_space_group_IT_number 1
loop_
_space_group_symop_operation_xyz
'x,y,z'
loop_
_atom_site_label
_atom_site_type_symbol
_atom_site_fract_x
_atom_site_fract_y
_atom_site_fract_z
_atom_site_occupancy
Ag1 Ag 0.0000 0.0000 0.5585 1
Ag2 Ag 0.0000 0.0000 0.9415 1
Ni1 Ni 0.5000 0.5000 0.7500 1
La1 La 0.5000 0.5000 0.2500 1
# Energy relative to the elements ... 0.0911 eV per atom
# Crystal system ... tetragonal

=====

[4]
# GGA-PBE MgSc6Al3, relaxed
data_MgSc6Al3
_cell_length_a 4.9076
_cell_length_b 8.5060
_cell_length_c 10.7258
_cell_angle_alpha 109.23
_cell_angle_beta 90.00
_cell_angle_gamma 90.00
_space_group_name_H-M_alt 'P 1'
_space_group_IT_number 1
loop_
_space_group_symop_operation_xyz
'x,y,z'
loop_
_atom_site_label
_atom_site_type_symbol
_atom_site_fract_x
_atom_site_fract_y
_atom_site_fract_z
_atom_site_occupancy
Al1 Al 0.7500 0.4601 0.6253 1
Al2 Al 0.2500 0.7726 0.9735 1
Al3 Al 0.7500 0.6225 0.2175 1
Al4 Al 0.2500 0.3775 0.7825 1
Al5 Al 0.7500 0.2274 0.0265 1
Al6 Al 0.2500 0.5399 0.3747 1
Sc1 Sc 0.2500 0.1397 0.1697 1
Sc2 Sc 0.7500 0.7313 0.5065 1
Sc3 Sc 0.7500 0.3426 0.3241 1
Sc4 Sc 0.7500 0.8603 0.8303 1
Sc5 Sc 0.2500 0.8311 0.2815 1
Sc6 Sc 0.7500 0.5442 0.9202 1
Sc7 Sc 0.2500 0.6574 0.6759 1
Sc8 Sc 0.2500 0.0924 0.8793 1
Sc9 Sc 0.2500 0.2687 0.4935 1
Sc10 Sc 0.7500 0.9076 0.1207 1
Sc11 Sc 0.7500 0.1689 0.7185 1
Sc12 Sc 0.2500 0.4558 0.0798 1
Mg1 Mg 0.2500 0.9607 0.5865 1
Mg2 Mg 0.7500 0.0393 0.4135 1
# Energy relative to the elements ... -0.2797 eV per atom
# Crystal system ... monoclinic

=====

[5]
# GGA-PBE Ba2MgTl6Au, relaxed
data_Ba2MgTl6Au
_cell_length_a 7.8739
_cell_length_b 7.8734
_cell_length_c 7.7269
_cell_angle_alpha 60.53
_cell_angle_beta 60.53
_cell_angle_gamma 89.83
_space_group_name_H-M_alt 'P 1'
_space_group_IT_number 1
loop_
_space_group_symop_operation_xyz
'x,y,z'
loop_
_atom_site_label
_atom_site_type_symbol
_atom_site_fract_x
_atom_site_fract_y
_atom_site_fract_z
_atom_site_occupancy
Tl1 Tl 0.2513 0.7487 0.0000 1
Tl2 Tl 0.2503 0.2503 0.4979 1
Tl3 Tl 0.2509 0.2509 0.9996 1
Tl4 Tl 0.7487 0.2513 0.0000 1
Tl5 Tl 0.7497 0.7497 0.5021 1
Tl6 Tl 0.7491 0.7491 0.0004 1
Ba1 Ba 0.2501 0.7499 0.5000 1
Ba2 Ba 0.7499 0.2501 0.5000 1
Mg1 Mg 0.5000 0.5000 0.0000 1
Au1 Au 0.0000 0.0000 0.0000 1
# Energy relative to the elements ... -0.1130 eV per atom
# Crystal system ... monoclinic

=====

[6]
# GGA-PBE Ti2TcN, relaxed
data_Ti2TcN
_cell_length_a 2.9695
_cell_length_b 2.9695
_cell_length_c 6.8209
_cell_angle_alpha 77.43
_cell_angle_beta 77.43
_cell_angle_gamma 60.00
_space_group_name_H-M_alt 'P 1'
_space_group_IT_number 1
loop_
_space_group_symop_operation_xyz
'x,y,z'
loop_
_atom_site_label
_atom_site_type_symbol
_atom_site_fract_x
_atom_site_fract_y
_atom_site_fract_z
_atom_site_occupancy
Tc1 Tc 0.5000 0.5000 0.5000 1
Ti1 Ti 0.2715 0.2715 0.1856 1
Ti2 Ti 0.7285 0.7285 0.8144 1
N1 N 0.0000 0.0000 0.0000 1
# Uncorrected formation energy ... -95.5 kJ/mol of atoms
# Crystal system ... trigonal